# CdFe2Tc2 (PBE-GGA, relaxed)
data_CdFe2Tc2
_cell_length_a 7.244
_cell_length_b 7.244
_cell_length_c 2.680
_cell_angle_alpha 90.00
_cell_angle_beta 90.00
_cell_angle_gamma 90.00
_space_group_name_H-M_alt 'P 4/m b m'
_space_group_IT_number 127
_space_group_name_Hall '-P 4 2ab'
loop_
_atom_site_label
_atom_site_fract_x
_atom_site_fract_y
_atom_site_fract_z
Cd1 0.000 0.000 0.000
Fe1 0.121 0.379 0.000
Tc1 0.165 0.665 0.500
# electronic total energy: -7.46 eV/atom
# mass density: 9.92 g cm⁻³
# formation enthalpy at 0 K: 250 meV per atom
# DOS(E_F): 7.65 states/eV per cell